This record from Alexandria via LeMat-Bulk describes crystalline NaTcN3 at its relaxed geometry. The functional is PBE.

Results
Formation energy from raw total energies: 3136 meV per atom

a b c (Å): 3.8251 3.8251 3.8251
angles (deg): 90.00 90.00 90.00
Atoms (fractional coordinates):
1 Na 0.0000 0.0000 0.0000
2 Tc 0.5000 0.5000 0.5000
3 N 0.0000 0.0000 0.5000
4 N 0.0000 0.5000 0.0000
5 N 0.5000 0.0000 0.0000

This record from Alexandria via LeMat-Bulk describes crystalline LaAlTl2 at its relaxed geometry. The functional is PBE.

Results
E_form: -56 kJ/mol of formula units

a b c (Å): 9.2231 4.5699 5.7684
angles (deg): 90.00 111.86 90.00
Atoms (fractional coordinates):
1 La 0.0000 0.0000 0.0000
2 La 0.5000 0.5000 0.0000
3 Al 0.2566 0.5000 0.3226
4 Al 0.7566 0.0000 0.3226
5 Tl 0.2329 0.0000 0.6989
6 Tl 0.4730 0.0000 0.4407
7 Tl 0.7329 0.5000 0.6989
8 Tl 0.9730 0.5000 0.4407

This record from Alexandria via LeMat-Bulk describes crystalline SmTlGeCl6 at its relaxed geometry. The functional is PBE.

Results
Formation energy from raw total energies: -1520 meV per atom

a b c (Å): 7.0752 7.0752 6.9721
angles (deg): 90.00 90.00 120.00
Atoms (fractional coordinates):
1 Sm 0.0000 0.0000 0.0000
2 Tl 0.3333 0.6667 0.5000
3 Ge 0.6667 0.3333 0.0000
4 Cl 0.3362 0.0380 0.2182
5 Cl 0.3362 0.2982 0.7818
6 Cl 0.7018 0.0380 0.7818
7 Cl 0.7018 0.6638 0.2182
8 Cl 0.9620 0.2982 0.2182
9 Cl 0.9620 0.6638 0.7818

Number 1: M_tot 0.004 μB per formula unit. Number 2: M_tot 0.000 μB per formula unit. Number 3: M_tot 0.000 μB per formula unit.